No. 1
The following is a DFT calculation (PBE) of a geometry-optimized PmY2O structure.

```
PmY2O
1.0
3.202 0.000 0.000
0.000 3.202 0.000
0.000 0.000 8.889
Pm Y O
1 2 1
Direct
0.000 0.000 0.000 Pm
0.500 0.500 0.327 Y
0.500 0.500 0.673 Y
0.000 0.000 0.500 O
```

The calculation puts the energy above the most stable polymorph in this dataset at 411.8 meV/atom. The calculation puts the calculated volume at 91.12 Å³ per cell. For the formation energy (no corrections), the calculation gives -0.802 eV per atom.

No. 2
The following is a DFT calculation (PBE) of a geometry-optimized PmYO structure.

```
PmYO
1.0
3.580 0.000 0.000
-1.790 3.100 0.000
0.000 0.000 5.933
Pm Y O
1 1 1
Direct
0.000 0.000 0.000 Pm
0.333 0.667 0.464 Y
0.667 0.333 0.255 O
```

The calculation puts the calculated volume at 65.85 Å³ per cell. For the formation energy (no corrections), the calculation gives -1.761 eV per atom.

no.,total DFT energy (no corrections) (eV for the cell shown)
1,-25.8
2,-21.5